Record 1
SmEuSn | PBE | optimized geometry

Summary:
E above lowest polymorph: 0 meV per atom
Mass density: 6450 kg/m³
Formation energy from the elements: -0.44 eV per atom
Symmetry: F-43m
DFT total energy: -6.77 eV per atom

a = 5.352 Å, b = 5.352 Å, c = 5.352 Å
α = 60.00°, β = 60.00°, γ = 60.00°
Fractional coordinates of all 3 atoms:
Sm 0.000 0.000 0.000
Eu 0.500 0.500 0.500
Sn 0.250 0.250 0.250

=====

Record 2
KYCl4 | PBE | optimized geometry

Summary:
E above lowest polymorph: 10 meV per atom
Mass density: 2223 kg/m³
Symmetry: P-1
DFT total energy: -4.66 eV per atom

a = 6.736 Å, b = 7.463 Å, c = 8.749 Å
α = 97.48°, β = 112.24°, γ = 90.06°
Fractional coordinates of all 12 atoms:
K 0.234 0.248 0.496
K 0.766 0.752 0.504
Y 0.000 0.500 0.000
Y 0.500 0.000 0.000
Cl 0.037 0.573 0.307
Cl 0.219 0.203 0.092
Cl 0.236 0.925 0.692
Cl 0.372 0.704 0.094
Cl 0.628 0.296 0.906
Cl 0.764 0.075 0.308
Cl 0.781 0.797 0.908
Cl 0.963 0.427 0.693

=====

Record 3
AlCu2SbF | PBE | optimized geometry

Summary:
Mass density: 6042 kg/m³
Symmetry: P4/mmm
DFT total energy: -3.72 eV per atom

a = 4.468 Å, b = 4.468 Å, c = 4.058 Å
α = 90.00°, β = 90.00°, γ = 90.00°
Fractional coordinates of all 5 atoms:
Al 0.000 0.000 0.000
Cu 0.000 0.500 0.500
Cu 0.500 0.000 0.500
Sb 0.500 0.500 0.000
F 0.000 0.000 0.500